First-principles (PBE) data for crystalline MnSiB2Mo at its relaxed geometry, as listed in Alexandria.

Geometry as POSCAR:
```
MnSiB2Mo
1.0
3.8518 0.0000 0.0000
0.0000 4.1285 0.0000
0.0000 0.0000 3.8518
B Mo Si Mn
2 1 1 1
Direct
0.5000 0.0000 0.0000
0.0000 0.0000 0.5000
0.5000 0.5000 0.5000
0.0000 0.0000 0.0000
0.0000 0.5000 0.0000
```

Values from the calculation:
The total moment comes out at 0.00 μB/f.u. Its uncorrected formation energy is 35.1 kcal/mol of atoms.